No. 1
DFT (PBE-GGA) results for crystalline Nd3Dy3Mg2 at its relaxed geometry.

The space group is Cmcm (No. 63) and the conventional cell measures 5.3810, 11.8331 and 15.7861 Å, with angles of 90.00, 90.00 and 90.00 degrees. The inequivalent atoms are Nd at (0.0000, 0.0378, 0.1043), Nd at (0.0000, 0.2490, 0.2500), Dy at (0.0000, 0.3551, 0.0340), Dy at (0.0000, 0.4758, 0.7500) and Mg at (0.0000, 0.2303, 0.6446).

=====

No. 2
DFT (PBE-GGA) results for crystalline Nd4Dy4Mg at its relaxed geometry.

The space group is P-1 (No. 2) and the conventional cell measures 7.1379, 7.9993 and 10.6991 Å, with angles of 77.25, 89.86 and 77.10 degrees. The inequivalent atoms are Nd at (0.0818, 0.1705, 0.3852), Nd at (0.2469, 0.4997, 0.8348), Nd at (0.4128, 0.8355, 0.6094), Nd at (0.4145, 0.8360, 0.9430), Dy at (0.0815, 0.1646, 0.0581), Dy at (0.0826, 0.1668, 0.7220), Dy at (0.2475, 0.4993, 0.5006), Dy at (0.2510, 0.5062, 0.1689) and Mg at (0.4164, 0.8291, 0.2779).

=====

No. 3
DFT (PBE-GGA) results for crystalline Nd3Dy3Mg at its relaxed geometry.

The space group is P6_3/m (No. 176) and the conventional cell measures 9.5856, 9.5856 and 5.6677 Å, with angles of 90.00, 90.00 and 120.00 degrees. The inequivalent atoms are Nd at (0.1018, 0.4716, 0.2500), Dy at (0.0526, 0.2348, 0.7500) and Mg at (0.3333, 0.6667, 0.7500).

As for the distance to the lowest polymorph of the same formula: 0.000 eV per atom.

=====

No. 4
DFT (PBE-GGA) results for crystalline Nd7DyMg2 at its relaxed geometry.

The space group is Cmmm (No. 65) and the conventional cell measures 8.8929, 16.7414 and 5.3658 Å, with angles of 90.00, 90.00 and 90.00 degrees. The inequivalent atoms are Nd at (0.0000, 0.0000, 0.0000), Nd at (0.0000, 0.2876, 0.5000), Nd at (0.1842, 0.3858, 0.0000), Dy at (0.0000, 0.5000, 0.5000) and Mg at (0.0000, 0.2018, 0.0000).

=====

No. 5
DFT (PBE-GGA) results for crystalline Nd2DyMg2 at its relaxed geometry.

The space group is P2_1/m (No. 11) and the conventional cell measures 3.8365, 5.4968 and 14.2861 Å, with angles of 90.00, 97.75 and 90.00 degrees. The inequivalent atoms are Nd at (0.0451, 0.2500, 0.0898), Nd at (0.2358, 0.2500, 0.4735), Dy at (0.1498, 0.7500, 0.2990), Mg at (0.3602, 0.7500, 0.7200) and Mg at (0.4465, 0.2500, 0.8912).

As for the distance to the lowest polymorph of the same formula: 0.000 eV per atom.

=====

No. 6
DFT (PBE-GGA) results for crystalline NdDy3Mg4 at its relaxed geometry.

The space group is P4/mmm (No. 123) and the conventional cell measures 5.3850, 5.3850 and 7.6340 Å, with angles of 90.00, 90.00 and 90.00 degrees. The inequivalent atoms are Nd at (0.0000, 0.0000, 0.0000), Dy at (0.0000, 0.0000, 0.5000), Dy at (0.5000, 0.5000, 0.0000), Dy at (0.5000, 0.5000, 0.5000) and Mg at (0.0000, 0.5000, 0.2547).

=====

No. 7
DFT (PBE-GGA) results for crystalline Nd5DyMg5 at its relaxed geometry.

The space group is C2/m (No. 12) and the conventional cell measures 18.2713, 5.8969 and 6.7745 Å, with angles of 90.00, 111.61 and 90.00 degrees. The inequivalent atoms are Nd at (0.0000, 0.0000, 0.0000), Nd at (0.1324, 0.5000, 0.1339), Nd at (0.1844, 0.5000, 0.6852), Dy at (0.0000, 0.0000, 0.5000), Mg at (0.0000, 0.5000, 0.5000), Mg at (0.1678, 0.0000, 0.4356) and Mg at (0.1678, 0.0000, 0.9010).

=====

No. 8
DFT (PBE-GGA) results for crystalline Nd15Dy4Mg at its relaxed geometry.

The space group is P4/mmm (No. 123) and the conventional cell measures 5.1301, 5.1301 and 25.7477 Å, with angles of 90.00, 90.00 and 90.00 degrees. The inequivalent atoms are Nd at (0.0000, 0.0000, 0.0000), Nd at (0.0000, 0.0000, 0.1973), Nd at (0.0000, 0.0000, 0.3991), Nd at (0.0000, 0.5000, 0.0982), Nd at (0.0000, 0.5000, 0.2988), Nd at (0.0000, 0.5000, 0.5000), Dy at (0.5000, 0.5000, 0.1978), Dy at (0.5000, 0.5000, 0.3994) and Mg at (0.5000, 0.5000, 0.0000).

=====

No. 9
DFT (PBE-GGA) results for crystalline Nd8Dy2Mg at its relaxed geometry.

The space group is Immm (No. 71) and the conventional cell measures 5.6617, 7.7598 and 17.2210 Å, with angles of 90.00, 90.00 and 90.00 degrees. The inequivalent atoms are Nd at (0.0000, 0.0000, 0.1757), Nd at (0.0000, 0.2179, 0.3654), Nd at (0.0000, 0.2672, 0.0000), Dy at (0.0000, 0.5000, 0.1948) and Mg at (0.0000, 0.5000, 0.5000).

As for the distance to the lowest polymorph of the same formula: 0.000 eV per atom.

=====

No. 10
DFT (PBE-GGA) results for crystalline NdDy5Mg3 at its relaxed geometry.

The space group is C2/m (No. 12) and the conventional cell measures 11.4246, 9.0947 and 12.1088 Å, with angles of 90.00, 104.52 and 90.00 degrees. The inequivalent atoms are Nd at (0.1183, 0.0000, 0.2660), Dy at (0.0000, 0.3097, 0.0000), Dy at (0.0861, 0.5000, 0.6290), Dy at (0.1782, 0.1823, 0.7960), Dy at (0.2254, 0.5000, 0.9316), Mg at (0.0000, 0.0000, 0.0000), Mg at (0.0000, 0.0000, 0.5000), Mg at (0.0764, 0.5000, 0.2126) and Mg at (0.2355, 0.5000, 0.4358).

=====

No. 11
DFT (PBE-GGA) results for crystalline Nd9DyMg2 at its relaxed geometry.

The space group is P4/mmm (No. 123) and the conventional cell measures 5.0740, 5.0740 and 15.2980 Å, with angles of 90.00, 90.00 and 90.00 degrees. The inequivalent atoms are Nd at (0.0000, 0.0000, 0.0000), Nd at (0.0000, 0.0000, 0.3355), Nd at (0.0000, 0.5000, 0.1698), Nd at (0.0000, 0.5000, 0.5000), Dy at (0.5000, 0.5000, 0.0000) and Mg at (0.5000, 0.5000, 0.3368).

=====

No. 12
DFT (PBE-GGA) results for crystalline Nd12Dy7Mg at its relaxed geometry.

The space group is R-3 (No. 148, hexagonal axes) and the conventional cell measures 15.1212, 15.1212 and 10.1472 Å, with angles of 90.00, 90.00 and 120.00 degrees. The inequivalent atoms are Nd at (0.0240, 0.7732, 0.0541), Nd at (0.0494, 0.8698, 0.7424), Dy at (0.0000, 0.0000, 0.0000), Dy at (0.0727, 0.8146, 0.4369) and Mg at (0.0000, 0.0000, 0.5000).

As for the distance to the lowest polymorph of the same formula: 0.000 eV per atom.

=====

No. 13
DFT (PBE-GGA) results for crystalline Nd4Dy2Mg at its relaxed geometry.

The space group is P2/m (No. 10) and the conventional cell measures 5.9969, 3.6868 and 11.0503 Å, with angles of 90.00, 99.83 and 90.00 degrees. The inequivalent atoms are Nd at (0.0461, 0.0000, 0.2053), Nd at (0.4369, 0.5000, 0.7502), Dy at (0.0000, 0.5000, 0.5000), Dy at (0.5000, 0.0000, 0.5000) and Mg at (0.5000, 0.0000, 0.0000).

As for the distance to the lowest polymorph of the same formula: 0.038 eV per atom.

=====

No. 14
DFT (PBE-GGA) results for crystalline Nd8DyMg2 at its relaxed geometry.

The space group is C2/m (No. 12) and the conventional cell measures 9.0059, 15.9236 and 5.8486 Å, with angles of 90.00, 117.43 and 90.00 degrees. The inequivalent atoms are Nd at (0.0000, 0.2102, 0.0000), Nd at (0.0904, 0.5000, 0.7944), Nd at (0.2103, 0.1134, 0.6386), Dy at (0.0000, 0.0000, 0.0000) and Mg at (0.0000, 0.3067, 0.5000).

As for the distance to the lowest polymorph of the same formula: 0.102 eV per atom.

=====

No. 15
DFT (PBE-GGA) results for crystalline Nd8Dy3Mg at its relaxed geometry.

The space group is I-42m (No. 121) and the conventional cell measures 8.7120, 8.7120 and 11.5604 Å, with angles of 90.00, 90.00 and 90.00 degrees. The inequivalent atoms are Nd at (0.1272, 0.1272, 0.2517), Nd at (0.2492, 0.2492, 0.5090), Dy at (0.0000, 0.0000, 0.5000), Dy at (0.0000, 0.5000, 0.2500) and Mg at (0.0000, 0.0000, 0.0000).

=====

No. 16
DFT (PBE-GGA) results for crystalline Nd8Dy2Mg at its relaxed geometry.

The space group is C2/m (No. 12) and the conventional cell measures 16.4422, 6.7923 and 6.8593 Å, with angles of 90.00, 101.88 and 90.00 degrees. The inequivalent atoms are Nd at (0.0798, 0.2393, 0.3866), Nd at (0.0994, 0.0000, 0.9231), Nd at (0.2445, 0.5000, 0.3161), Dy at (0.1841, 0.5000, 0.7952) and Mg at (0.0000, 0.5000, 0.0000).

As for the distance to the lowest polymorph of the same formula: 0.048 eV per atom.

=====

No. 17
DFT (PBE-GGA) results for crystalline Nd4Dy10Mg at its relaxed geometry.

The space group is I4/m (No. 87) and the conventional cell measures 9.8542, 9.8542 and 10.5009 Å, with angles of 90.00, 90.00 and 90.00 degrees. The inequivalent atoms are Nd at (0.0705, 0.6718, 0.0000), Dy at (0.0000, 0.5000, 0.2500), Dy at (0.1102, 0.7878, 0.3383) and Mg at (0.0000, 0.0000, 0.0000).

=====

No. 18
DFT (PBE-GGA) results for crystalline Nd4Dy6Mg at its relaxed geometry.

The space group is I-42m (No. 121) and the conventional cell measures 6.5496, 6.5496 and 17.2394 Å, with angles of 90.00, 90.00 and 90.00 degrees. The inequivalent atoms are Nd at (0.1844, 0.1844, 0.3251), Dy at (0.0000, 0.5000, 0.0000), Dy at (0.1733, 0.1733, 0.1273) and Mg at (0.0000, 0.0000, 0.5000).

=====

No. 19
DFT (PBE-GGA) results for crystalline NdDy5Mg4 at its relaxed geometry.

The space group is P4/mmm (No. 123) and the conventional cell measures 3.7640, 3.7640 and 20.1134 Å, with angles of 90.00, 90.00 and 90.00 degrees. The inequivalent atoms are Nd at (0.0000, 0.0000, 0.0000), Dy at (0.5000, 0.5000, 0.1225), Dy at (0.5000, 0.5000, 0.3116), Dy at (0.5000, 0.5000, 0.5000), Mg at (0.0000, 0.0000, 0.2175) and Mg at (0.0000, 0.0000, 0.4054).

=====

| no. | calculated formation energy (eV/atom) | ρ (Mg/m³) |
| --- | --- | --- |
| 1 | 0.062 | 6.40 |
| 2 | 0.016 | 7.16 |
| 3 | 0.014 | 6.95 |
| 4 | 0.517 | 5.08 |
| 5 | -0.068 | 5.56 |
| 6 | -0.088 | 5.47 |
| 7 | 0.133 | 4.92 |
| 8 | 0.009 | 6.95 |
| 9 | 0.097 | 6.60 |
| 10 | 0.356 | 5.62 |
| 11 | 0.000 | 6.36 |
| 12 | 0.137 | 7.17 |
| 13 | 0.120 | 6.39 |
| 14 | 0.109 | 6.09 |
| 15 | 0.528 | 6.30 |
| 16 | 0.145 | 6.66 |
| 17 | 0.355 | 7.25 |
| 18 | 0.274 | 7.08 |
| 19 | -0.056 | 6.14 |